# CoGePd2

CoGePd2 after structural relaxation (PBE, the Alexandria database).

```
CoGePd2
1.0
3.760 0.000 0.000
0.000 3.760 0.000
0.000 0.000 17.572
Co Ge Pd
4 4 8
Direct
0.000 0.000 0.000
0.000 0.500 0.250
0.500 0.000 0.750
0.500 0.500 0.500
0.000 0.000 0.500
0.000 0.500 0.750
0.500 0.000 0.250
0.500 0.500 0.000
0.248 0.250 0.125
0.250 0.748 0.375
0.250 0.752 0.875
0.252 0.250 0.625
0.748 0.750 0.625
0.750 0.248 0.875
0.750 0.252 0.375
0.752 0.750 0.125
```

Output
Energy of formation ... 0.120 eV per atom



# La4ErS5

La4ErS5 after structural relaxation (PBE, the Alexandria database).

```
La4ErS5
1.0
-4.579 4.579 2.907
4.579 -4.579 2.907
4.579 4.579 -2.907
La Er S
4 1 5
Direct
0.096 0.302 0.399
0.302 0.904 0.206
0.698 0.096 0.794
0.904 0.698 0.601
0.500 0.500 0.000
0.000 0.000 0.000
0.214 0.598 0.811
0.402 0.214 0.616
0.598 0.786 0.384
0.786 0.402 0.189
```

Output
E_form (uncorrected) ... -2.11 eV per atom



# RbMg2Ag

RbMg2Ag after structural relaxation (PBE, the Alexandria database).

```
RbMg2Ag
1.0
7.720 0.000 0.000
0.000 7.720 0.000
0.000 0.000 7.720
Rb Mg Ag
4 8 4
Direct
0.000 0.000 0.000
0.000 0.500 0.500
0.500 0.000 0.500
0.500 0.500 0.000
0.250 0.250 0.250
0.250 0.250 0.750
0.250 0.750 0.250
0.250 0.750 0.750
0.750 0.250 0.250
0.750 0.250 0.750
0.750 0.750 0.250
0.750 0.750 0.750
0.000 0.000 0.500
0.000 0.500 0.000
0.500 0.000 0.000
0.500 0.500 0.500
```

Output
Energy of formation ... 0.304 eV per atom



# Ga2CuPt4

Ga2CuPt4 after structural relaxation (PBE, the Alexandria database).

```
Ga2CuPt4
1.0
4.608 0.000 0.000
0.000 8.304 0.000
-0.365 0.000 5.864
Ga Cu Pt
4 2 8
Direct
0.189 0.054 0.329
0.189 0.446 0.829
0.811 0.554 0.171
0.811 0.946 0.671
0.500 0.000 0.000
0.500 0.500 0.500
0.015 0.675 0.566
0.015 0.825 0.066
0.484 0.198 0.650
0.484 0.302 0.150
0.516 0.698 0.850
0.516 0.802 0.350
0.985 0.175 0.934
0.985 0.325 0.434
```

Output
Energy of formation ... -0.339 eV per atom



# YH2I

YH2I after structural relaxation (PBE, the Alexandria database).

```
YH2I
1.0
6.431 0.000 0.000
0.000 6.431 0.000
0.000 0.000 6.431
Y H I
4 8 4
Direct
0.000 0.000 0.000
0.000 0.500 0.500
0.500 0.000 0.500
0.500 0.500 0.000
0.250 0.250 0.250
0.250 0.250 0.750
0.250 0.750 0.250
0.250 0.750 0.750
0.750 0.250 0.250
0.750 0.250 0.750
0.750 0.750 0.250
0.750 0.750 0.750
0.000 0.000 0.500
0.000 0.500 0.000
0.500 0.000 0.000
0.500 0.500 0.500
```

Output
Final energy ... -3.68 eV/atom



# LiCuMoIr

LiCuMoIr after structural relaxation (PBE, the Alexandria database).

```
LiCuMoIr
1.0
6.016 0.000 0.000
0.000 6.016 0.000
0.000 0.000 6.016
Li Cu Mo Ir
4 4 4 4
Direct
0.000 0.000 0.000
0.000 0.500 0.500
0.500 0.000 0.500
0.500 0.500 0.000
0.250 0.250 0.750
0.250 0.750 0.250
0.750 0.250 0.250
0.750 0.750 0.750
0.250 0.250 0.250
0.250 0.750 0.750
0.750 0.250 0.750
0.750 0.750 0.250
0.000 0.000 0.500
0.000 0.500 0.000
0.500 0.000 0.000
0.500 0.500 0.500
```

Output
Energy of formation ... -0.002 eV per atom



# NbTcW

NbTcW after structural relaxation (PBE, the Alexandria database).

```
NbTcW
1.0
4.507 0.000 0.000
0.000 9.619 0.000
0.000 0.000 4.500
Nb Tc W
4 4 4
Direct
0.000 0.088 0.250
0.000 0.912 0.750
0.500 0.412 0.750
0.500 0.588 0.250
0.000 0.247 0.750
0.000 0.753 0.250
0.500 0.253 0.250
0.500 0.747 0.750
0.000 0.418 0.250
0.000 0.582 0.750
0.500 0.082 0.750
0.500 0.918 0.250
```

Output
Energy of formation ... -0.129 eV per atom



# LiCa2BiF

LiCa2BiF after structural relaxation (PBE, the Alexandria database).

```
LiCa2BiF
1.0
5.124 0.000 0.000
0.000 5.124 0.000
0.000 0.000 4.342
Li Ca Bi F
1 2 1 1
Direct
0.000 0.000 0.000
0.000 0.500 0.500
0.500 0.000 0.500
0.500 0.500 0.000
0.000 0.000 0.500
```

Output
E_form (uncorrected) ... -1.44 eV per atom



# SrCo2Cu

SrCo2Cu after structural relaxation (PBE, the Alexandria database).

```
SrCo2Cu
1.0
3.091 0.000 0.000
0.000 3.669 0.000
-1.495 0.000 6.442
Sr Co Cu
1 2 1
Direct
0.000 0.000 0.000
0.239 0.000 0.451
0.704 0.500 0.386
0.353 0.500 0.697
```

Output
Energy of formation ... 0.439 eV per atom



# ScCdCl2

ScCdCl2 after structural relaxation (PBE, the Alexandria database).

```
ScCdCl2
1.0
4.051 0.000 0.000
0.000 4.051 0.000
0.000 0.000 10.750
Sc Cd Cl
2 2 4
Direct
0.000 0.000 0.000
0.500 0.500 0.500
0.000 0.500 0.750
0.500 0.000 0.250
0.000 0.000 0.500
0.000 0.500 0.250
0.500 0.000 0.750
0.500 0.500 0.000
```

Output
E_form (uncorrected) ... -0.65 eV per atom



# RbCd6Hg12

RbCd6Hg12 after structural relaxation (PBE, the Alexandria database).

```
RbCd6Hg12
1.0
8.239 0.000 0.000
2.597 7.864 0.000
4.010 2.720 7.905
Rb Cd Hg
1 6 12
Direct
0.000 0.000 0.000
0.244 0.118 0.233
0.327 0.522 0.465
0.448 0.696 0.798
0.552 0.304 0.202
0.673 0.478 0.535
0.756 0.882 0.767
0.051 0.258 0.557
0.166 0.835 0.623
0.182 0.529 0.165
0.194 0.414 0.867
0.421 0.802 0.107
0.426 0.115 0.638
0.574 0.885 0.362
0.579 0.198 0.893
0.806 0.586 0.133
0.818 0.471 0.835
0.834 0.165 0.377
0.949 0.742 0.443
```

Output
Energy of formation ... -0.034 eV per atom



# Sc2URh4

Sc2URh4 after structural relaxation (PBE, the Alexandria database).

```
Sc2URh4
1.0
9.488 0.000 0.000
0.000 3.983 0.000
-1.601 0.000 6.634
Sc U Rh
4 2 8
Direct
0.126 0.000 0.180
0.374 0.500 0.820
0.626 0.500 0.180
0.874 0.000 0.820
0.000 0.500 0.500
0.500 0.000 0.500
0.095 0.500 0.872
0.189 0.000 0.621
0.311 0.500 0.379
0.405 0.000 0.128
0.595 0.000 0.872
0.689 0.500 0.621
0.811 0.000 0.379
0.905 0.500 0.128
```

Output
Energy of formation ... -0.724 eV per atom



What did the eighth record say?
# LiCa2BiF

LiCa2BiF after structural relaxation (PBE, the Alexandria database).

```
LiCa2BiF
1.0
5.124 0.000 0.000
0.000 5.124 0.000
0.000 0.000 4.342
Li Ca Bi F
1 2 1 1
Direct
0.000 0.000 0.000
0.000 0.500 0.500
0.500 0.000 0.500
0.500 0.500 0.000
0.000 0.000 0.500
```

Output
E_form (uncorrected) ... -1.44 eV per atom